# V3InTe PBE optimized geometry
# M_tot: 6.7 μB/cell
# Relative energy among the computed polymorphs: 0 meV/atom
# Raw formation energy: 5.4 eV per formula unit
data_V3InTe
_cell_length_a 4.920
_cell_length_b 4.920
_cell_length_c 4.920
_cell_angle_alpha 90.00
_cell_angle_beta 90.00
_cell_angle_gamma 90.00
_symmetry_space_group_name_H-M 'P m -3 m'
_symmetry_Int_Tables_number 221
_symmetry_space_group_name_Hall '-P 4 2 3'
loop_
_atom_site_label
_atom_site_type_symbol
_atom_site_fract_x
_atom_site_fract_y
_atom_site_fract_z
V1 V 0.000 0.000 0.500
In1 In 0.500 0.500 0.500
Te1 Te 0.000 0.000 0.000

***

# VInTe PBE optimized geometry
# M_tot: 12.3 μB/cell
# Raw formation energy: 1.2 eV per formula unit
data_VInTe
_cell_length_a 3.280
_cell_length_b 5.182
_cell_length_c 17.575
_cell_angle_alpha 90.00
_cell_angle_beta 90.00
_cell_angle_gamma 90.00
_symmetry_space_group_name_H-M 'I m m m'
_symmetry_Int_Tables_number 71
_symmetry_space_group_name_Hall '-I 2 2'
loop_
_atom_site_label
_atom_site_type_symbol
_atom_site_fract_x
_atom_site_fract_y
_atom_site_fract_z
V1 V 0.000 0.000 0.157
In1 In 0.000 0.248 0.000
Te1 Te 0.000 0.000 0.315

***

# VIn3Te PBE optimized geometry
# M_tot: 4.0 μB/cell
# Relative energy among the computed polymorphs: 628 meV/atom
# Raw formation energy: 5.3 eV per formula unit
data_VIn3Te
_cell_length_a 5.824
_cell_length_b 5.824
_cell_length_c 5.824
_cell_angle_alpha 90.00
_cell_angle_beta 90.00
_cell_angle_gamma 90.00
_symmetry_space_group_name_H-M 'P m -3 m'
_symmetry_Int_Tables_number 221
_symmetry_space_group_name_Hall '-P 4 2 3'
loop_
_atom_site_label
_atom_site_type_symbol
_atom_site_fract_x
_atom_site_fract_y
_atom_site_fract_z
V1 V 0.000 0.000 0.000
In1 In 0.000 0.500 0.500
Te1 Te 0.500 0.500 0.500

***

# VInTe2 PBE optimized geometry
# M_tot: 11.4 μB/cell
# Raw formation energy: 1.5 eV per formula unit
data_VInTe2
_cell_length_a 4.2675
_cell_length_b 4.2675
_cell_length_c 26.1547
_cell_angle_alpha 90.00
_cell_angle_beta 90.00
_cell_angle_gamma 120.00
_symmetry_space_group_name_H-M 'R -3 m'
_symmetry_Int_Tables_number 166
_symmetry_space_group_name_Hall '-R 3 2"'
loop_
_atom_site_label
_atom_site_type_symbol
_atom_site_fract_x
_atom_site_fract_y
_atom_site_fract_z
V1 V 0.0000 0.0000 0.0000
In1 In 0.0000 0.0000 0.5000
Te1 Te 0.0000 0.0000 0.1015

***

# VInTe3 PBE optimized geometry
# M_tot: 1.1 μB/cell
# Relative energy among the computed polymorphs: 321 meV/atom
# Raw formation energy: 0.3 eV per formula unit
data_VInTe3
_cell_length_a 5.331
_cell_length_b 5.331
_cell_length_c 5.331
_cell_angle_alpha 90.00
_cell_angle_beta 90.00
_cell_angle_gamma 90.00
_symmetry_space_group_name_H-M 'P m -3 m'
_symmetry_Int_Tables_number 221
_symmetry_space_group_name_Hall '-P 4 2 3'
loop_
_atom_site_label
_atom_site_type_symbol
_atom_site_fract_x
_atom_site_fract_y
_atom_site_fract_z
V1 V 0.000 0.000 0.000
In1 In 0.500 0.500 0.500
Te1 Te 0.000 0.000 0.500

***

# VInTe3 PBE optimized geometry
# M_tot: 4.0 μB/cell
# Relative energy among the computed polymorphs: 0 meV/atom
# Raw formation energy: -1.4 eV per formula unit
data_VInTe3
_cell_length_a 7.474
_cell_length_b 4.212
_cell_length_c 9.568
_cell_angle_alpha 90.00
_cell_angle_beta 94.18
_cell_angle_gamma 90.00
_symmetry_space_group_name_H-M 'P 1 21/m 1'
_symmetry_Int_Tables_number 11
loop_
_symmetry_equiv_pos_as_xyz
'x,y,z'
'-x,-y,-z'
'-x,y+1/2,-z'
'x,-y+1/2,z'
loop_
_atom_site_label
_atom_site_type_symbol
_atom_site_fract_x
_atom_site_fract_y
_atom_site_fract_z
V1 V 0.082 0.250 0.129
In1 In 0.330 0.250 0.603
Te1 Te 0.022 0.750 0.316
Te2 Te 0.244 0.750 0.991
Te3 Te 0.420 0.250 0.311

***

# V2InTe PBE optimized geometry
# M_tot: 19.5 μB/cell
# Relative energy among the computed polymorphs: 203 meV/atom
# Raw formation energy: 2.4 eV per formula unit
data_V2InTe
_cell_length_a 7.481
_cell_length_b 7.481
_cell_length_c 6.323
_cell_angle_alpha 90.00
_cell_angle_beta 90.00
_cell_angle_gamma 90.00
_symmetry_space_group_name_H-M 'I -4 2 d'
_symmetry_Int_Tables_number 122
_symmetry_space_group_name_Hall 'I -4 2bw'
loop_
_atom_site_label
_atom_site_type_symbol
_atom_site_fract_x
_atom_site_fract_y
_atom_site_fract_z
V1 V 0.227 0.250 0.125
In1 In 0.000 0.000 0.500
Te1 Te 0.000 0.000 0.000

***

# V2In2Te PBE optimized geometry
# M_tot: 0.0 μB/cell
# Raw formation energy: 1.0 eV per formula unit
data_V2In2Te
_cell_length_a 6.809
_cell_length_b 6.809
_cell_length_c 4.406
_cell_angle_alpha 90.00
_cell_angle_beta 90.00
_cell_angle_gamma 90.00
_symmetry_space_group_name_H-M 'P 4/m b m'
_symmetry_Int_Tables_number 127
_symmetry_space_group_name_Hall '-P 4 2ab'
loop_
_atom_site_label
_atom_site_type_symbol
_atom_site_fract_x
_atom_site_fract_y
_atom_site_fract_z
V1 V 0.121 0.379 0.000
In1 In 0.163 0.663 0.500
Te1 Te 0.000 0.000 0.000

***

Please write out number 5 again, unchanged.
# VInTe3 PBE optimized geometry
# M_tot: 1.1 μB/cell
# Relative energy among the computed polymorphs: 321 meV/atom
# Raw formation energy: 0.3 eV per formula unit
data_VInTe3
_cell_length_a 5.331
_cell_length_b 5.331
_cell_length_c 5.331
_cell_angle_alpha 90.00
_cell_angle_beta 90.00
_cell_angle_gamma 90.00
_symmetry_space_group_name_H-M 'P m -3 m'
_symmetry_Int_Tables_number 221
_symmetry_space_group_name_Hall '-P 4 2 3'
loop_
_atom_site_label
_atom_site_type_symbol
_atom_site_fract_x
_atom_site_fract_y
_atom_site_fract_z
V1 V 0.000 0.000 0.000
In1 In 0.500 0.500 0.500
Te1 Te 0.000 0.000 0.500